No. 1
## Pr3HoAu2 (PBE)

Data for a relaxed Pr3HoAu2 crystal.

Properties
SG ... Pmc2_1, No. 26
Energy relative to the elements ... -542.4 meV per atom

Cell lengths 5.136, 7.218, 9.377 Å; angles 90.00, 90.00, 90.00 degrees
Element x y z (fractional)
1 Pr 0.000 0.348 0.338
2 Ho 0.500 0.506 0.575
3 Pr 0.500 0.152 0.834
4 Au 0.000 0.269 0.649
5 Au 0.000 0.769 0.351
6 Pr 0.000 0.993 0.075
7 Au 0.500 0.231 0.160
8 Pr 0.500 0.652 0.166
9 Au 0.500 0.731 0.840
10 Pr 0.000 0.848 0.662
11 Ho 0.500 0.006 0.425
12 Pr 0.000 0.493 0.925

=====

No. 2
## VSiRh4 (PBE)

Data for a relaxed VSiRh4 crystal.

Properties
SG ... P4/mmm, No. 123
E_form (uncorrected) ... -0.420 eV/atom

Cell lengths 5.743, 5.648, 5.648 Å; angles 90.00, 90.00, 90.08 degrees
Element x y z (fractional)
1 Rh 0.245 0.500 0.500
2 Rh 0.245 0.500 0.000
3 Rh 0.755 0.500 0.500
4 Rh 0.245 0.000 0.000
5 Rh 0.755 0.500 0.000
6 Rh 0.245 0.000 0.500
7 V 0.500 0.250 0.250
8 Rh 0.755 0.000 0.000
9 V 0.500 0.750 0.750
10 Rh 0.755 0.000 0.500
11 Si 0.000 0.750 0.250
12 Si 0.000 0.250 0.750

=====

No. 3
## La2HoTm5Sc (PBE)

Data for a relaxed La2HoTm5Sc crystal.

Properties
SG ... Cmc2_1, No. 36
Energy relative to the elements ... 156.2 meV per atom

Cell lengths 5.543, 10.250, 10.414 Å; angles 90.00, 90.00, 105.69 degrees
Element x y z (fractional)
1 La 0.114 0.228 0.314
2 La 0.885 0.769 0.234
3 Sc 0.802 0.604 0.514
4 Tm 0.298 0.595 0.702
5 Ho 0.590 0.180 0.962
6 Tm 0.623 0.246 0.519
7 Tm 0.723 0.447 0.818
8 Tm 0.984 0.969 0.520
9 Sc 0.198 0.396 0.014
10 Ho 0.410 0.820 0.462
11 Tm 0.483 0.966 0.740
12 La 0.115 0.231 0.734
13 Tm 0.702 0.405 0.202
14 Tm 0.277 0.553 0.318
15 La 0.886 0.772 0.814
16 Tm 0.377 0.754 0.019
17 Tm 0.517 0.034 0.240
18 Tm 0.016 0.031 0.020

=====

no.,M_tot (μB per formula unit)
1,0.00
2,0.00
3,0.00